No. 1
A geometry-optimized Tl4CdBi structure. Source: the Alexandria database, functional PBE.

The structure in POSCAR format:
```
Tl4CdBi
1.0
-3.169 3.057 1.469
-5.415 -5.119 -1.027
3.025 -5.214 10.043
Tl Cd Bi
8 2 2
Direct
0.315 0.171 0.629
0.685 0.671 0.371
0.291 0.734 0.581
0.018 0.683 0.036
0.427 0.902 0.855
0.709 0.234 0.419
0.982 0.183 0.964
0.573 0.402 0.145
0.166 0.973 0.333
0.834 0.473 0.667
0.424 0.470 0.847
0.576 0.970 0.153
```

V (Å³/atom): 33.41
Crystal system: orthorhombic
Total moment (Bohr magnetons per cell): 0.00
Total energy (eV/atom): -2.316


No. 2
A geometry-optimized Tl3CdBi3 structure. Source: the Alexandria database, functional PBE.

The structure in POSCAR format:
```
Tl3CdBi3
1.0
5.001 0.000 0.753
2.608 5.979 -0.336
0.207 -2.311 15.599
Cd Bi Tl
2 6 6
Direct
0.212 0.951 0.624
0.788 0.049 0.376
0.959 0.272 0.811
0.139 0.239 0.483
0.874 0.150 0.103
0.126 0.850 0.897
0.861 0.761 0.517
0.041 0.728 0.189
0.284 0.182 0.250
0.374 0.284 0.968
0.521 0.620 0.338
0.479 0.380 0.662
0.716 0.818 0.750
0.626 0.716 0.032
```

V (Å³/atom): 32.65
Crystal system: monoclinic
Total moment (Bohr magnetons per cell): 0.00
Total energy (eV/atom): -2.795


No. 3
A geometry-optimized Tl3Cd3Bi structure. Source: the Alexandria database, functional PBE.

The structure in POSCAR format:
```
Tl3Cd3Bi
1.0
-7.481 -2.549 -2.061
3.248 -5.075 -5.514
0.440 -5.870 5.662
Cd Tl Bi
6 6 2
Direct
0.000 0.500 0.250
0.750 0.000 0.500
0.500 0.250 0.000
0.250 0.000 0.500
0.500 0.750 0.000
0.000 0.500 0.750
0.000 0.250 0.500
0.750 0.500 0.000
0.000 0.750 0.500
0.250 0.500 0.000
0.500 0.000 0.750
0.500 0.000 0.250
0.500 0.500 0.500
0.000 0.000 0.000
```

V (Å³/atom): 38.92
Crystal system: cubic
Total moment (Bohr magnetons per cell): 0.00
Total energy (eV/atom): -1.466


No. 4
A geometry-optimized TlCd3Bi2 structure. Source: the Alexandria database, functional PBE.

The structure in POSCAR format:
```
TlCd3Bi2
1.0
4.963 0.000 0.000
-2.481 8.929 -3.332
0.000 -0.633 8.232
Cd Bi Tl
6 4 2
Direct
0.633 0.267 0.775
0.699 0.398 0.497
0.367 0.733 0.225
0.068 0.136 0.465
0.301 0.602 0.503
0.932 0.864 0.535
0.762 0.525 0.210
0.238 0.475 0.790
0.477 0.954 0.782
0.523 0.046 0.218
0.112 0.224 0.055
0.888 0.776 0.945
```

V (Å³/atom): 29.53
Crystal system: monoclinic
Total moment (Bohr magnetons per cell): 0.00
Total energy (eV/atom): -2.119


No. 5
A geometry-optimized TlCd2Bi structure. Source: the Alexandria database, functional PBE.

The structure in POSCAR format:
```
TlCd2Bi
1.0
-3.627 -0.087 -2.593
-2.646 -1.907 3.764
-1.182 4.600 1.500
Cd Tl Bi
2 1 1
Direct
0.000 0.000 0.500
0.000 0.500 0.000
0.500 0.000 0.000
0.500 0.500 0.500
```

V (Å³/atom): 27.66
Crystal system: tetragonal
Total moment (Bohr magnetons per cell): 0.00
Total energy (eV/atom): -1.961


No. 6
A geometry-optimized Tl2Cd15Bi2 structure. Source: the Alexandria database, functional PBE.

The structure in POSCAR format:
```
Tl2Cd15Bi2
1.0
-4.289 -2.306 -6.222
-4.102 -5.438 4.004
-6.082 4.790 1.579
Cd Tl Bi
15 2 2
Direct
0.690 0.000 0.310
0.500 0.000 0.000
0.000 0.690 0.310
0.356 0.834 0.356
0.310 0.690 0.000
0.356 0.356 0.834
0.166 0.644 0.644
0.690 0.310 0.000
0.644 0.166 0.644
0.000 0.500 0.000
0.310 0.000 0.690
0.644 0.644 0.166
0.000 0.310 0.690
0.000 0.000 0.500
0.834 0.356 0.356
0.350 0.350 0.350
0.650 0.650 0.650
0.891 0.891 0.891
0.109 0.109 0.109
```

V (Å³/atom): 25.70
Crystal system: trigonal
Total moment (Bohr magnetons per cell): 0.00
Total energy (eV/atom): -1.347


No. 7
A geometry-optimized TlCdBi structure. Source: the Alexandria database, functional PBE.

The structure in POSCAR format:
```
TlCdBi
1.0
4.718 0.000 0.000
0.000 4.967 0.000
0.000 -2.483 4.301
Cd Bi Tl
1 1 1
Direct
0.095 0.000 0.000
0.224 0.333 0.667
0.680 0.667 0.333
```

V (Å³/atom): 33.60
Crystal system: trigonal
Total moment (Bohr magnetons per cell): 0.00
Total energy (eV/atom): -2.328


No. 8
A geometry-optimized TlCdBi structure. Source: the Alexandria database, functional PBE.

The structure in POSCAR format:
```
TlCdBi
1.0
-4.099 2.788 -1.404
-4.604 -0.945 2.112
-2.066 3.382 3.293
Cd Bi Tl
1 1 1
Direct
0.250 0.250 0.250
0.000 0.000 0.000
0.500 0.500 0.500
```

V (Å³/atom): 32.24
Crystal system: cubic
Total moment (Bohr magnetons per cell): 0.00
Total energy (eV/atom): -2.369


No. 9
A geometry-optimized Tl3CdBi structure. Source: the Alexandria database, functional PBE.

The structure in POSCAR format:
```
Tl3CdBi
1.0
-4.544 1.974 -1.108
-1.741 0.018 7.174
3.211 7.818 0.761
Tl Bi Cd
6 2 2
Direct
0.250 0.244 0.750
0.250 0.744 0.542
0.750 0.257 0.042
0.750 0.756 0.250
0.250 0.743 0.958
0.750 0.256 0.458
0.250 0.058 0.250
0.750 0.942 0.750
0.750 0.528 0.750
0.250 0.472 0.250
```

V (Å³/atom): 31.80
Crystal system: monoclinic
Total moment (Bohr magnetons per cell): 0.00
Total energy (eV/atom): -2.337


No. 10
A geometry-optimized TlCdBi structure. Source: the Alexandria database, functional PBE.

The structure in POSCAR format:
```
TlCdBi
1.0
3.233 0.000 0.000
0.000 3.233 0.000
-1.616 -1.616 9.044
Tl Bi Cd
1 1 1
Direct
0.132 0.132 0.264
0.943 0.943 0.887
0.774 0.774 0.549
```

V (Å³/atom): 31.50
Crystal system: tetragonal
Total moment (Bohr magnetons per cell): 0.00
Total energy (eV/atom): -2.296


No. 11
A geometry-optimized Tl3Cd6Bi5 structure. Source: the Alexandria database, functional PBE.

The structure in POSCAR format:
```
Tl3Cd6Bi5
1.0
-1.074 4.743 0.079
-10.698 -2.509 5.244
6.124 1.169 13.052
Cd Bi Tl
12 10 6
Direct
0.000 0.047 0.500
0.500 0.026 0.353
0.000 0.625 0.672
0.500 0.953 0.000
0.500 0.375 0.172
0.500 0.576 0.000
0.000 0.424 0.500
0.000 0.625 0.328
0.000 0.974 0.853
0.000 0.974 0.147
0.500 0.026 0.647
0.500 0.375 0.828
0.500 0.128 0.840
0.000 0.519 0.133
0.500 0.481 0.633
0.000 0.789 0.000
0.000 0.872 0.660
0.000 0.519 0.867
0.500 0.211 0.500
0.500 0.128 0.160
0.500 0.481 0.367
0.000 0.872 0.340
0.000 0.250 0.000
0.000 0.251 0.689
0.500 0.749 0.189
0.000 0.251 0.311
0.500 0.749 0.811
0.500 0.750 0.500
```

V (Å³/atom): 30.59
Crystal system: orthorhombic
Total moment (Bohr magnetons per cell): 0.00
Total energy (eV/atom): -2.266


No. 12
A geometry-optimized Tl3Cd2Bi structure. Source: the Alexandria database, functional PBE.

The structure in POSCAR format:
```
Tl3Cd2Bi
1.0
-4.416 2.401 -3.784
0.584 -6.237 0.591
-3.555 0.064 4.189
Cd Tl Bi
2 3 1
Direct
0.333 0.667 0.000
0.667 0.333 0.000
0.500 0.000 0.500
0.500 0.500 0.500
0.000 0.500 0.500
0.000 0.000 0.000
```

V (Å³/atom): 31.40
Crystal system: hexagonal
Total moment (Bohr magnetons per cell): 0.00
Total energy (eV/atom): -1.931


No. 13
A geometry-optimized TlCd3Bi3 structure. Source: the Alexandria database, functional PBE.

The structure in POSCAR format:
```
TlCd3Bi3
1.0
-6.386 1.467 -5.029
4.623 -2.152 -6.498
-2.464 -7.838 0.843
Bi Cd Tl
6 6 2
Direct
0.000 0.500 0.750
0.250 0.000 0.500
0.500 0.750 0.000
0.000 0.500 0.250
0.500 0.250 0.000
0.750 0.000 0.500
0.000 0.250 0.500
0.500 0.000 0.250
0.250 0.500 0.000
0.750 0.500 0.000
0.500 0.000 0.750
0.000 0.750 0.500
0.500 0.500 0.500
0.000 0.000 0.000
```

V (Å³/atom): 40.25
Crystal system: cubic
Total moment (Bohr magnetons per cell): 0.00
Total energy (eV/atom): -2.174


No. 14
A geometry-optimized Tl6Cd3Bi structure. Source: the Alexandria database, functional PBE.

The structure in POSCAR format:
```
Tl6Cd3Bi
1.0
-3.318 -4.166 3.956
1.298 -1.712 -6.277
7.100 -3.384 2.391
Cd Tl Bi
3 6 1
Direct
0.000 0.000 0.500
0.333 0.667 0.500
0.667 0.333 0.500
0.000 0.421 0.804
0.579 0.579 0.804
0.000 0.579 0.196
0.421 0.000 0.804
0.579 0.000 0.196
0.421 0.421 0.196
0.000 0.000 0.000
```

V (Å³/atom): 31.33
Crystal system: trigonal
Total moment (Bohr magnetons per cell): 0.00
Total energy (eV/atom): -1.969


No. 15
A geometry-optimized Tl6Cd2Bi structure. Source: the Alexandria database, functional PBE.

The structure in POSCAR format:
```
Tl6Cd2Bi
1.0
-4.313 1.094 -0.061
-3.280 -4.263 -6.886
-3.873 -5.190 4.276
Tl Cd Bi
6 2 1
Direct
0.981 0.343 0.177
0.019 0.657 0.823
0.646 0.000 0.671
0.324 0.657 0.177
0.676 0.343 0.823
0.354 0.000 0.329
0.324 0.352 0.500
0.676 0.648 0.500
0.000 0.000 0.000
```

V (Å³/atom): 30.80
Crystal system: monoclinic
Total moment (Bohr magnetons per cell): 0.00
Total energy (eV/atom): -2.145


No. 16
A geometry-optimized TlCd2Bi structure. Source: the Alexandria database, functional PBE.

The structure in POSCAR format:
```
TlCd2Bi
1.0
5.731 -2.537 -2.929
-2.580 5.712 2.929
-3.428 0.251 6.004
Cd Tl Bi
2 1 1
Direct
0.000 0.749 0.749
0.000 0.251 0.251
0.000 0.000 0.000
0.000 0.500 0.500
```

V (Å³/atom): 30.76
Crystal system: tetragonal
Total moment (Bohr magnetons per cell): 0.00
Total energy (eV/atom): -1.856


No. 17
A geometry-optimized TlCd3Bi structure. Source: the Alexandria database, functional PBE.

The structure in POSCAR format:
```
TlCd3Bi
1.0
6.778 -0.671 -0.500
2.099 6.480 -0.500
2.099 1.373 6.352
Tl Cd Bi
2 6 2
Direct
0.727 0.727 0.727
0.227 0.227 0.227
0.289 0.587 0.898
0.398 0.087 0.789
0.087 0.789 0.398
0.898 0.289 0.587
0.789 0.398 0.087
0.587 0.898 0.289
0.470 0.470 0.470
0.970 0.970 0.970
```

V (Å³/atom): 29.87
Crystal system: trigonal
Total moment (Bohr magnetons per cell): 0.00
Total energy (eV/atom): -1.669


No. 18
A geometry-optimized Tl4CdBi structure. Source: the Alexandria database, functional PBE.

The structure in POSCAR format:
```
Tl4CdBi
1.0
-2.323 4.484 4.061
-5.884 2.529 -0.988
-4.875 -1.473 4.008
Tl Bi Cd
4 1 1
Direct
0.625 0.126 0.625
0.625 0.625 0.126
0.625 0.625 0.625
0.126 0.625 0.625
0.250 0.250 0.250
0.000 0.000 0.000
```

V (Å³/atom): 32.08
Crystal system: cubic
Total moment (Bohr magnetons per cell): 0.00
Total energy (eV/atom): -2.228


No. 19
A geometry-optimized Tl14CdBi structure. Source: the Alexandria database, functional PBE.

The structure in POSCAR format:
```
Tl14CdBi
1.0
-4.866 -1.345 5.130
2.667 -6.638 0.793
5.993 3.186 6.521
Tl Cd Bi
14 1 1
Direct
0.625 0.125 0.746
0.125 0.625 0.254
0.125 0.125 0.254
0.375 0.875 0.500
0.625 0.125 0.254
0.875 0.375 0.000
0.125 0.625 0.746
0.125 0.125 0.746
0.375 0.375 0.000
0.375 0.875 0.000
0.875 0.875 0.000
0.625 0.625 0.254
0.625 0.625 0.746
0.875 0.375 0.500
0.875 0.875 0.500
0.375 0.375 0.500
```

V (Å³/atom): 30.47
Crystal system: tetragonal
Total moment (Bohr magnetons per cell): 0.00
Total energy (eV/atom): -2.353


No. 20
A geometry-optimized Tl6Cd2Bi structure. Source: the Alexandria database, functional PBE.

The structure in POSCAR format:
```
Tl6Cd2Bi
1.0
3.506 0.000 0.000
-1.753 3.036 0.000
0.000 0.000 25.135
Bi Cd Tl
1 2 6
Direct
0.333 0.667 0.000
0.667 0.333 0.334
0.667 0.333 0.666
0.333 0.667 0.232
0.333 0.667 0.563
0.333 0.667 0.437
0.667 0.333 0.885
0.667 0.333 0.115
0.333 0.667 0.768
```

V (Å³/atom): 29.72
Crystal system: hexagonal
Total moment (Bohr magnetons per cell): 0.00
Total energy (eV/atom): -2.188


No. 21
A geometry-optimized TlCd3Bi3 structure. Source: the Alexandria database, functional PBE.

The structure in POSCAR format:
```
TlCd3Bi3
1.0
-0.662 7.918 -0.829
-1.282 3.166 -7.221
-8.399 3.166 -1.539
Bi Cd Tl
6 6 2
Direct
0.203 0.662 0.212
0.797 0.338 0.788
0.077 0.797 0.788
0.923 0.203 0.212
0.662 0.923 0.212
0.338 0.077 0.788
0.754 0.114 0.605
0.246 0.886 0.395
0.527 0.754 0.605
0.886 0.473 0.395
0.473 0.246 0.395
0.114 0.527 0.605
0.332 0.332 0.004
0.668 0.668 0.996
```

V (Å³/atom): 31.00
Crystal system: trigonal
Total moment (Bohr magnetons per cell): 0.00
Total energy (eV/atom): -2.325


No. 22
A geometry-optimized Tl5Cd3Bi3 structure. Source: the Alexandria database, functional PBE.

The structure in POSCAR format:
```
Tl5Cd3Bi3
1.0
-1.450 -2.273 -2.250
4.040 -8.173 5.652
-9.723 3.867 2.361
Tl Bi Cd
5 3 3
Direct
0.500 0.667 0.333
0.500 0.338 0.000
0.500 0.000 0.338
0.500 0.662 0.662
0.500 0.333 0.667
0.000 0.393 0.393
0.000 0.000 0.607
0.000 0.607 0.000
0.500 0.158 0.158
0.500 0.000 0.842
0.500 0.842 0.000
```

V (Å³/atom): 31.81
Crystal system: hexagonal
Total moment (Bohr magnetons per cell): 0.00
Total energy (eV/atom): -2.308